Entry 1:
DFT (PBE) results for a relaxed structure of Er3Tm2Tl2.

Properties
distance to the lowest polymorph of the same formula: 0.109 eV per atom
total DFT energy (no corrections): -55.814 eV/cell

Cell: 4.980 23.111 3.459 Å, 90.00 90.00 90.00°
Space group Cmmm (No. 65)
One atom of each set of equivalent atoms:
Er: 0.000 0.000 0.000 [2 per cell]
Er: 0.000 0.148 0.000 [4 per cell]
Tm: 0.000 0.286 0.500 [4 per cell]
Tl: 0.000 0.427 0.500 [4 per cell]

---

Entry 2:
DFT (PBE) results for a relaxed structure of Ba3SrMg3.

Properties
total DFT energy (no corrections): -49.066 eV/cell

Cell: 12.743 11.659 8.555 Å, 90.00 90.01 90.00°
Space group C2/m (No. 12)
One atom of each set of equivalent atoms:
Ba: 0.000 0.225 0.000 [4 per cell]
Ba: 0.000 0.230 0.500 [4 per cell]
Ba: 0.227 0.500 0.499 [4 per cell]
Sr: 0.227 0.500 0.001 [4 per cell]
Mg: 0.001 0.500 0.757 [4 per cell]
Mg: 0.249 0.251 0.758 [8 per cell]

---

Entry 3:
DFT (PBE) results for a relaxed structure of KMo4Rh.

Properties
total DFT energy (no corrections): -184.071 eV/cell

Cell: 7.569 7.569 7.569 Å, 90.00 90.00 90.00°
Space group F-43m (No. 216)
One atom of each set of equivalent atoms:
K: 0.000 0.000 0.000 [4 per cell]
Mo: 0.125 0.125 0.625 [16 per cell]
Rh: 0.250 0.250 0.250 [4 per cell]

---

Entry 4:
DFT (PBE) results for a relaxed structure of Pr3Ge5Rh6.

Properties
total DFT energy (no corrections): -187.035 eV/cell

Cell: 4.124 12.800 10.038 Å, 90.00 90.00 90.00°
Space group Pmmn (No. 59, origin choice 2)
One atom of each set of equivalent atoms:
Pr: 0.250 0.091 0.246 [4 per cell]
Pr: 0.250 0.750 0.245 [2 per cell]
Ge: 0.250 0.077 0.647 [4 per cell]
Ge: 0.250 0.628 0.988 [4 per cell]
Ge: 0.250 0.750 0.616 [2 per cell]
Rh: 0.250 0.050 0.900 [4 per cell]
Rh: 0.250 0.250 0.008 [2 per cell]
Rh: 0.250 0.250 0.519 [2 per cell]
Rh: 0.250 0.581 0.493 [4 per cell]

---

Entry 5:
DFT (PBE) results for a relaxed structure of Tm3Tl3BiTe8.

Properties
formation energy (no corrections): -1202 kJ/mol of formula units
total DFT energy (no corrections): -185.966 eV/cell

Cell: 8.8444 8.8444 23.9784 Å, 90.00 90.00 120.00°
Space group R-3m (No. 166, hexagonal axes)
One atom of each set of equivalent atoms:
Tm: 0.0000 0.5000 0.0000 [9 per cell]
Tl: 0.0000 0.5000 0.5000 [9 per cell]
Bi: 0.0000 0.0000 0.0000 [3 per cell]
Te: 0.0000 0.0000 0.2620 [6 per cell]
Te: 0.0121 0.5061 0.2611 [18 per cell]

---

Entry 6:
DFT (PBE) results for a relaxed structure of SmFeP2Ru.

Properties
total DFT energy (no corrections): -76.253 eV/cell

Cell: 3.964 3.964 9.808 Å, 90.00 90.00 90.00°
Space group I-4m2 (No. 119)
One atom of each set of equivalent atoms:
Sm: 0.000 0.000 0.000 [2 per cell]
Fe: 0.000 0.500 0.250 [2 per cell]
P: 0.000 0.000 0.368 [4 per cell]
Ru: 0.000 0.500 0.750 [2 per cell]

---

Entry 7:
DFT (PBE) results for a relaxed structure of Cr2RuCl.

Properties
distance to the lowest polymorph of the same formula: 0.629 eV per atom
formation energy (no corrections): 319 kJ/mol of formula units
total DFT energy (no corrections): -108.238 eV/cell

Cell: 6.140 6.140 6.140 Å, 90.00 90.00 90.00°
Space group F-43m (No. 216)
One atom of each set of equivalent atoms:
Cr: 0.000 0.000 0.000 [4 per cell]
Cr: 0.250 0.250 0.250 [4 per cell]
Ru: 0.250 0.250 0.750 [4 per cell]
Cl: 0.000 0.000 0.500 [4 per cell]

---

Entry 8:
DFT (PBE) results for a relaxed structure of Li8CaCu2.

Properties
total DFT energy (no corrections): -45.760 eV/cell

Cell: 5.769 5.769 17.342 Å, 90.00 90.00 90.00°
Space group I4/mmm (No. 139)
One atom of each set of equivalent atoms:
Li: 0.248 0.248 0.163 [16 per cell]
Ca: 0.000 0.000 0.000 [2 per cell]
Cu: 0.000 0.500 0.250 [4 per cell]

---

Entry 9:
DFT (PBE) results for a relaxed structure of NaHfH.

Properties
total DFT energy (no corrections): -57.015 eV/cell

Cell: 10.611 2.911 8.329 Å, 90.00 126.89 90.00°
Space group C2/m (No. 12)
One atom of each set of equivalent atoms:
Na: 0.070 0.000 0.375 [4 per cell]
Hf: 0.175 0.500 0.085 [4 per cell]
H: 0.208 0.500 0.681 [4 per cell]

---

Entry 10:
DFT (PBE) results for a relaxed structure of Ga3AgRh.

Properties
distance to the lowest polymorph of the same formula: 0.214 eV per atom
total DFT energy (no corrections): -19.569 eV/cell

Cell: 4.775 4.775 4.775 Å, 90.00 90.00 90.00°
Space group Pm-3m (No. 221)
One atom of each set of equivalent atoms:
Ga: 0.000 0.000 0.500 [3 per cell]
Ag: 0.500 0.500 0.500 [1 per cell]
Rh: 0.000 0.000 0.000 [1 per cell]

---

Entry 11:
DFT (PBE) results for a relaxed structure of Ac3Ir2F.

Properties
formation energy (no corrections): -779 kJ/mol of formula units
total DFT energy (no corrections): -79.995 eV/cell

Cell: 13.617 5.929 4.328 Å, 90.00 108.45 90.00°
Space group C2/m (No. 12)
One atom of each set of equivalent atoms:
Ac: 0.000 0.000 0.000 [2 per cell]
Ac: 0.176 0.500 0.677 [4 per cell]
Ir: 0.158 0.000 0.657 [4 per cell]
F: 0.000 0.500 0.000 [2 per cell]

---

Entry 12:
DFT (PBE) results for a relaxed structure of LaInSn2H.

Properties
distance to the lowest polymorph of the same formula: 0.044 eV per atom
total DFT energy (no corrections): -20.401 eV/cell

Cell: 4.826 4.826 4.850 Å, 90.00 90.00 90.00°
Space group P4/mmm (No. 123)
One atom of each set of equivalent atoms:
La: 0.000 0.000 0.000 [1 per cell]
In: 0.500 0.500 0.000 [1 per cell]
Sn: 0.000 0.500 0.500 [2 per cell]
H: 0.500 0.500 0.500 [1 per cell]

---

- Which formula does entry 6 have?
  SmFeP2Ru